No. 1
This record from Alexandria via LeMat-Bulk describes crystalline CeYIr4 at its relaxed geometry. The functional is PBE.

a = 7.615 Å, b = 7.615 Å, c = 7.615 Å
α = 90.00°, β = 90.00°, γ = 90.00°
Space group F-43m (No. 216)
Asymmetric unit:
1 Ce 0.000 0.000 0.000
2 Y 0.250 0.250 0.750
3 Ir 0.125 0.125 0.375

Summary:
The volume comes out at 18.4 Å³ per atom. The calculation puts the total moment at 0.0001 μB/atom. The value obtained for the formation energy is -777 meV/atom. For the density, the calculation gives 15.0 g/cm3.



No. 2
This record from Alexandria via LeMat-Bulk describes crystalline Ce2YIr2 at its relaxed geometry. The functional is PBE.

a = 7.777 Å, b = 7.777 Å, c = 3.861 Å
α = 90.00°, β = 90.00°, γ = 90.00°
Space group P4/mbm (No. 127)
Asymmetric unit:
1 Ce 0.163 0.337 0.000
2 Y 0.000 0.000 0.500
3 Ir 0.140 0.640 0.500

Summary:
The volume comes out at 23.4 Å³ per atom. The calculation puts the total moment at 0.0001 μB/atom. Its energy above the most stable polymorph in this dataset is 0.00 eV/f.u. The value obtained for the formation energy is -679 meV/atom. For the density, the calculation gives 10.7 g/cm3.



No. 3
This record from Alexandria via LeMat-Bulk describes crystalline Ce2Y2Ir3 at its relaxed geometry. The functional is PBE.

a = 12.811 Å, b = 4.234 Å, c = 7.081 Å
α = 90.00°, β = 102.97°, γ = 90.00°
Space group C2/m (No. 12)
Asymmetric unit:
1 Ce 0.140 0.000 0.354
2 Y 0.126 0.500 0.899
3 Ir 0.000 0.000 0.000
4 Ir 0.227 0.000 0.728

Summary:
The volume comes out at 26.7 Å³ per atom. The calculation puts the total moment at 0.1097 μB/atom. Its energy above the most stable polymorph in this dataset is 0.64 eV/f.u. The value obtained for the formation energy is -635 meV/atom. For the density, the calculation gives 9.2 g/cm3.



No. 4
This record from Alexandria via LeMat-Bulk describes crystalline CeY2Ir3 at its relaxed geometry. The functional is PBE.

a = 3.973 Å, b = 5.710 Å, c = 12.217 Å
α = 90.00°, β = 90.00°, γ = 90.00°
Space group Immm (No. 71)
Asymmetric unit:
1 Ce 0.000 0.000 0.000
2 Y 0.000 0.000 0.332
3 Ir 0.000 0.500 0.000
4 Ir 0.000 0.500 0.341

Summary:
The volume comes out at 23.1 Å³ per atom. The calculation puts the total moment at 0.0000 μB/atom. The value obtained for the formation energy is -543 meV/atom. For the density, the calculation gives 10.7 g/cm3.



No. 5
This record from Alexandria via LeMat-Bulk describes crystalline Ce2YIr2 at its relaxed geometry. The functional is PBE.

a = 5.248 Å, b = 7.379 Å, c = 5.844 Å
α = 90.00°, β = 90.00°, γ = 90.00°
Space group Cmmm (No. 65)
Asymmetric unit:
1 Ce 0.000 0.191 0.000
2 Y 0.000 0.000 0.500
3 Ir 0.000 0.500 0.262

Summary:
The volume comes out at 22.6 Å³ per atom. The calculation puts the total moment at 0.0000 μB/atom. Its energy above the most stable polymorph in this dataset is 2.11 eV/f.u. The value obtained for the formation energy is -257 meV/atom. For the density, the calculation gives 11.1 g/cm3.



No. 6
This record from Alexandria via LeMat-Bulk describes crystalline Ce3YIr at its relaxed geometry. The functional is PBE.

a = 7.185 Å, b = 5.918 Å, c = 7.222 Å
α = 90.00°, β = 119.69°, γ = 90.00°
Space group P2_1/m (No. 11)
Asymmetric unit:
1 Ce 0.119 0.250 0.243
2 Ce 0.297 0.750 0.096
3 Ce 0.374 0.750 0.756
4 Y 0.119 0.250 0.733
5 Ir 0.500 0.000 0.500

Summary:
The volume comes out at 26.7 Å³ per atom. The calculation puts the total moment at 0.0001 μB/atom. The value obtained for the formation energy is -259 meV/atom. For the density, the calculation gives 8.7 g/cm3.



No. 7
This record from Alexandria via LeMat-Bulk describes crystalline Ce3YIr8 at its relaxed geometry. The functional is PBE.

a = 5.3903 Å, b = 5.3903 Å, c = 26.3905 Å
α = 90.00°, β = 90.00°, γ = 120.00°
Space group R3m (No. 160, hexagonal axes)
Asymmetric unit:
1 Ce 0.0000 0.0000 0.0000
2 Ce 0.0000 0.0000 0.1245
3 Ce 0.0000 0.0000 0.6255
4 Y 0.0000 0.0000 0.5001
5 Ir 0.0000 0.0000 0.3125
6 Ir 0.0000 0.0000 0.8127
7 Ir 0.0001 0.5000 0.0627
8 Ir 0.0007 0.5003 0.5623

Summary:
The volume comes out at 18.4 Å³ per atom. The calculation puts the total moment at 0.0363 μB/atom. The value obtained for the formation energy is -774 meV/atom. For the density, the calculation gives 15.4 g/cm3.



No. 8
This record from Alexandria via LeMat-Bulk describes crystalline CeY2Ir at its relaxed geometry. The functional is PBE.

a = 3.462 Å, b = 3.462 Å, c = 8.839 Å
α = 90.00°, β = 90.00°, γ = 90.00°
Space group P4/mmm (No. 123)
Asymmetric unit:
1 Ce 0.000 0.000 0.000
2 Y 0.500 0.500 0.312
3 Ir 0.000 0.000 0.500

Summary:
The volume comes out at 26.5 Å³ per atom. The calculation puts the total moment at 0.3555 μB/atom. Its energy above the most stable polymorph in this dataset is 0.63 eV/f.u. The value obtained for the formation energy is -350 meV/atom. For the density, the calculation gives 8.0 g/cm3.



No. 9
This record from Alexandria via LeMat-Bulk describes crystalline Ce3Y2Ir2 at its relaxed geometry. The functional is PBE.

a = 11.327 Å, b = 4.089 Å, c = 8.614 Å
α = 90.00°, β = 114.91°, γ = 90.00°
Space group C2/m (No. 12)
Asymmetric unit:
1 Ce 0.000 0.000 0.000
2 Ce 0.158 0.000 0.457
3 Y 0.151 0.500 0.805
4 Ir 0.161 0.500 0.181

Summary:
The volume comes out at 25.8 Å³ per atom. The calculation puts the total moment at 0.0000 μB/atom. The value obtained for the formation energy is -505 meV/atom. For the density, the calculation gives 9.0 g/cm3.



No. 10
This record from Alexandria via LeMat-Bulk describes crystalline CeY2Ir at its relaxed geometry. The functional is PBE.

a = 7.168 Å, b = 9.527 Å, c = 6.468 Å
α = 90.00°, β = 90.00°, γ = 90.00°
Space group Pnma (No. 62)
Asymmetric unit:
1 Ce 0.042 0.250 0.147
2 Y 0.175 0.064 0.669
3 Ir 0.127 0.750 0.460

Summary:
The volume comes out at 27.6 Å³ per atom. The calculation puts the total moment at 0.2250 μB/atom. Its energy above the most stable polymorph in this dataset is 0.00 eV/f.u. The value obtained for the formation energy is -508 meV/atom. For the density, the calculation gives 7.7 g/cm3.



No. 11
This record from Alexandria via LeMat-Bulk describes crystalline CeY2Ir at its relaxed geometry. The functional is PBE.

a = 3.9286 Å, b = 3.9286 Å, c = 27.6632 Å
α = 90.00°, β = 90.00°, γ = 120.00°
Space group R3m (No. 160, hexagonal axes)
Asymmetric unit:
1 Ce 0.0000 0.0000 0.0000
2 Y 0.0000 0.0000 0.2251
3 Y 0.0000 0.0000 0.4452
4 Ir 0.0000 0.0000 0.8352

Summary:
The volume comes out at 30.8 Å³ per atom. The calculation puts the total moment at 0.4612 μB/atom. Its energy above the most stable polymorph in this dataset is 1.11 eV/f.u. The value obtained for the formation energy is -230 meV/atom. For the density, the calculation gives 6.9 g/cm3.



No. 12
This record from Alexandria via LeMat-Bulk describes crystalline Ce2YIr at its relaxed geometry. The functional is PBE.

a = 3.796 Å, b = 11.298 Å, c = 9.856 Å
α = 90.00°, β = 90.00°, γ = 90.00°
Space group Cmcm (No. 63)
Asymmetric unit:
1 Ce 0.000 0.139 0.058
2 Y 0.000 0.420 0.250
3 Ir 0.000 0.294 0.750

Summary:
The volume comes out at 26.4 Å³ per atom. The calculation puts the total moment at 0.2560 μB/atom. Its energy above the most stable polymorph in this dataset is 0.02 eV/f.u. The value obtained for the formation energy is -433 meV/atom. For the density, the calculation gives 8.8 g/cm3.



no.,Fermi-level density of states (states/eV per cell)
1,24.14
2,16.50
3,17.91
4,5.76
5,13.98
6,21.47
7,50.17
8,6.56
9,22.81
10,32.21
11,25.97
12,37.10